# PBE-GGA CdFeSbIr, optimized geometry
# E above lowest polymorph in meV/atom: 0.0
data_CdFeSbIr
_chemical_formula_sum 'Cd4 Fe4 Sb4 Ir4'
_cell_length_a 6.467
_cell_length_b 6.467
_cell_length_c 6.467
_cell_angle_alpha 90.00
_cell_angle_beta 90.00
_cell_angle_gamma 90.00
_space_group_name_H-M_alt 'P 1'
_space_group_IT_number 1
loop_
_space_group_symop_operation_xyz
'x,y,z'
loop_
_atom_site_label
_atom_site_type_symbol
_atom_site_fract_x
_atom_site_fract_y
_atom_site_fract_z
Cd1 Cd 0.000 0.000 0.000
Cd2 Cd 0.000 0.500 0.500
Cd3 Cd 0.500 0.000 0.500
Cd4 Cd 0.500 0.500 0.000
Fe1 Fe 0.250 0.250 0.750
Fe2 Fe 0.250 0.750 0.250
Fe3 Fe 0.750 0.250 0.250
Fe4 Fe 0.750 0.750 0.750
Sb1 Sb 0.000 0.000 0.500
Sb2 Sb 0.000 0.500 0.000
Sb3 Sb 0.500 0.000 0.000
Sb4 Sb 0.500 0.500 0.500
Ir1 Ir 0.250 0.250 0.250
Ir2 Ir 0.250 0.750 0.750
Ir3 Ir 0.750 0.250 0.750
Ir4 Ir 0.750 0.750 0.250